Here is a relaxed structure of RbTbCo2F8 from the Alexandria database. Energies are from PBE with a Hubbard U.

abc: 5.2720 5.3830 7.7551
angles: 79.66 80.21 77.53
With the nearest neighbours (Å) after each atom.
Fractional positions:
Rb: 0.0000 0.0000 0.0000  6 F 2.74-2.90
Tb: 0.0000 0.0000 0.5000  6 F 2.18-2.22
Co: 0.4500 0.4498 0.2155  5 F 1.99-2.12
Co: 0.5500 0.5502 0.7845  5 F 1.99-2.12
F: 0.2039 0.7478 0.7152  1 Co 2.01, 1 Tb 2.22
F: 0.2383 0.7787 0.2924  1 Co 2.01, 1 Tb 2.22
F: 0.2806 0.2586 0.4327  1 Co 1.99, 1 Tb 2.18
F: 0.3595 0.3363 0.0064  2 Co 1.99-2.12
F: 0.6405 0.6637 0.9936  2 Co 1.99-2.12
F: 0.7194 0.7414 0.5673  1 Co 1.99, 1 Tb 2.18
F: 0.7617 0.2213 0.7076  1 Co 2.01, 1 Tb 2.22
F: 0.7961 0.2522 0.2848  1 Co 2.01, 1 Tb 2.22

Output
SG: No. 2
Final energy in eV per atom: -5.414